# EuHf2Ti PBE relaxed
data_EuHf2Ti
_space_group_name_H-M_alt 'P 1'
_space_group_IT_number 1
_cell_length_a 3.150
_cell_length_b 3.150
_cell_length_c 11.258
_cell_angle_alpha 81.96
_cell_angle_beta 81.96
_cell_angle_gamma 60.00
loop_
_space_group_symop_operation_xyz
'x,y,z'
loop_
_atom_site_label
_atom_site_fract_x
_atom_site_fract_y
_atom_site_fract_z
Eu1 0.000 0.000 0.000
Hf1 0.097 0.097 0.710
Hf2 0.903 0.903 0.290
Ti1 0.500 0.500 0.500
# Crystal system = trigonal
# Energy relative to the elements = 0.33 eV/atom
# DFT total energy = -36.75 eV for the cell shown

# EuTm2Hf PBE relaxed
data_EuTm2Hf
_space_group_name_H-M_alt 'P 1'
_space_group_IT_number 1
_cell_length_a 3.413
_cell_length_b 3.413
_cell_length_c 10.225
_cell_angle_alpha 90.00
_cell_angle_beta 90.00
_cell_angle_gamma 90.00
loop_
_space_group_symop_operation_xyz
'x,y,z'
loop_
_atom_site_label
_atom_site_fract_x
_atom_site_fract_y
_atom_site_fract_z
Eu1 0.500 0.500 0.500
Tm1 0.000 0.000 0.786
Tm2 0.000 0.000 0.214
Hf1 0.500 0.500 0.000
# Crystal system = tetragonal
# Energy relative to the lowest polymorph listed for this composition = 0.00 kJ per mole of atoms
# Energy relative to the elements = 0.12 eV/atom
# DFT total energy = -28.69 eV for the cell shown

# EuTm2Hf PBE relaxed
data_EuTm2Hf
_space_group_name_H-M_alt 'P 1'
_space_group_IT_number 1
_cell_length_a 3.327
_cell_length_b 3.327
_cell_length_c 12.365
_cell_angle_alpha 82.27
_cell_angle_beta 82.27
_cell_angle_gamma 60.00
loop_
_space_group_symop_operation_xyz
'x,y,z'
loop_
_atom_site_label
_atom_site_fract_x
_atom_site_fract_y
_atom_site_fract_z
Eu1 0.500 0.500 0.500
Tm1 0.084 0.084 0.749
Tm2 0.916 0.916 0.251
Hf1 0.000 0.000 0.000
# Crystal system = trigonal
# Energy relative to the lowest polymorph listed for this composition = 31.45 kJ per mole of atoms
# Energy relative to the elements = 0.45 eV/atom
# DFT total energy = -27.38 eV for the cell shown

# Eu2YHf PBE relaxed
data_Eu2YHf
_space_group_name_H-M_alt 'P 1'
_space_group_IT_number 1
_cell_length_a 3.428
_cell_length_b 3.428
_cell_length_c 12.499
_cell_angle_alpha 82.12
_cell_angle_beta 82.12
_cell_angle_gamma 60.00
loop_
_space_group_symop_operation_xyz
'x,y,z'
loop_
_atom_site_label
_atom_site_fract_x
_atom_site_fract_y
_atom_site_fract_z
Eu1 0.592 0.592 0.225
Eu2 0.408 0.408 0.775
Y1 0.500 0.500 0.500
Hf1 0.000 0.000 0.000
# Crystal system = trigonal
# Energy relative to the elements = 0.38 eV/atom
# DFT total energy = -35.46 eV for the cell shown

# Eu2HfZn PBE relaxed
data_Eu2HfZn
_space_group_name_H-M_alt 'P 1'
_space_group_IT_number 1
_cell_length_a 3.297
_cell_length_b 3.297
_cell_length_c 11.735
_cell_angle_alpha 81.93
_cell_angle_beta 81.93
_cell_angle_gamma 60.00
loop_
_space_group_symop_operation_xyz
'x,y,z'
loop_
_atom_site_label
_atom_site_fract_x
_atom_site_fract_y
_atom_site_fract_z
Eu1 0.092 0.092 0.723
Eu2 0.908 0.908 0.277
Zn1 0.500 0.500 0.500
Hf1 0.000 0.000 0.000
# Crystal system = trigonal
# Energy relative to the elements = 0.43 eV/atom
# DFT total energy = -30.07 eV for the cell shown

# EuHg6 PBE relaxed
data_EuHg6
_space_group_name_H-M_alt 'P 1'
_space_group_IT_number 1
_cell_length_a 6.967
_cell_length_b 6.967
_cell_length_c 6.967
_cell_angle_alpha 109.47
_cell_angle_beta 109.47
_cell_angle_gamma 109.47
loop_
_space_group_symop_operation_xyz
'x,y,z'
loop_
_atom_site_label
_atom_site_fract_x
_atom_site_fract_y
_atom_site_fract_z
Eu1 0.000 0.000 0.000
Hg1 0.250 0.750 0.500
Hg2 0.500 0.750 0.250
Hg3 0.250 0.500 0.750
Hg4 0.750 0.250 0.500
Hg5 0.500 0.250 0.750
Hg6 0.750 0.500 0.250
# Crystal system = cubic
# Energy relative to the elements = 0.13 eV/atom
# DFT total energy = -11.19 eV for the cell shown

# EuHg2 PBE relaxed
data_EuHg2
_space_group_name_H-M_alt 'P 1'
_space_group_IT_number 1
_cell_length_a 6.142
_cell_length_b 6.142
_cell_length_c 6.142
_cell_angle_alpha 60.00
_cell_angle_beta 60.00
_cell_angle_gamma 60.00
loop_
_space_group_symop_operation_xyz
'x,y,z'
loop_
_atom_site_label
_atom_site_fract_x
_atom_site_fract_y
_atom_site_fract_z
Eu1 0.000 0.000 0.000
Eu2 0.250 0.250 0.250
Hg1 0.125 0.625 0.625
Hg2 0.625 0.125 0.625
Hg3 0.625 0.625 0.625
Hg4 0.625 0.625 0.125
# Crystal system = cubic
# Energy relative to the elements = -0.34 eV/atom
# DFT total energy = -23.81 eV for the cell shown

# EuHg2 PBE relaxed
data_EuHg2
_space_group_name_H-M_alt 'P 1'
_space_group_IT_number 1
_cell_length_a 3.636
_cell_length_b 5.092
_cell_length_c 5.092
_cell_angle_alpha 120.00
_cell_angle_beta 90.00
_cell_angle_gamma 90.00
loop_
_space_group_symop_operation_xyz
'x,y,z'
loop_
_atom_site_label
_atom_site_fract_x
_atom_site_fract_y
_atom_site_fract_z
Eu1 0.500 0.000 0.000
Hg1 0.000 0.333 0.667
Hg2 0.000 0.667 0.333
# Crystal system = hexagonal
# Energy relative to the elements = -0.47 eV/atom
# DFT total energy = -12.28 eV for the cell shown